Ac2YNpO8 | Alexandria via LeMat-Bulk | PBE | relaxed; energy = -104.6 eV per cell; size of the total moment = 0.0 Bohr magnetons per cell
1.0
-0.485 -4.064 -0.422
2.089 0.874 -5.305
7.184 -1.132 2.642
O Y Ac Np
8 1 2 1
Cartesian
3.162 0.250 -3.590 O
1.549 -3.930 -0.995 O
8.566 -2.784 -1.823 O
0.222 -1.538 -1.262 O
4.918 -2.070 -2.930 O
3.870 -2.251 -0.155 O
5.626 -4.572 0.505 O
7.239 -0.392 -2.090 O
3.592 -0.566 1.321 Y
6.169 -2.440 -0.890 Ac
2.619 -1.881 -2.195 Ac
0.000 0.000 0.000 Np